Record 1
Computed, not measured: crystalline KAc2P at its relaxed geometry at the PBE level of DFT.

Output
D(E_F) (states/eV/atom): 0.960
Relative energy among the computed polymorphs (eV per formula unit): 2.14

Cell: 5.3521 5.3521 4.5730 Å, 90.00 90.00 90.00°
Closest atoms and distances in Å follow each position.
Space group P4/mmm (No. 123)
Inequivalent atoms, fractional coordinates:
K (0.0000, 0.0000, 0.0000) [1 per cell]  8 Ac 3.52, 4 P 3.78
Ac (0.0000, 0.5000, 0.5000) [2 per cell]  4 P 3.52, 4 K 3.52, 4 Ac 3.78
P (0.5000, 0.5000, 0.0000) [1 per cell]  8 Ac 3.52, 4 K 3.78

Record 2
Computed, not measured: crystalline Pm2BPt6 at its relaxed geometry at the PBE level of DFT.

Output
D(E_F) (states/eV/atom): 0.215
Relative energy among the computed polymorphs (eV per formula unit): 0.33

Cell: 5.8670 5.8670 5.2701 Å, 90.00 90.00 120.00°
Closest atoms and distances in Å follow each position.
Space group P-3m1 (No. 164)
Inequivalent atoms, fractional coordinates:
Pm (0.3333, 0.6667, 0.2759) [2 per cell]  12 Pt 2.94-3.18
B (0.0000, 0.0000, 0.5000) [1 per cell]  6 Pt 2.19
Pt (0.1657, 0.3314, 0.7658) [6 per cell]  1 B 2.19

Record 3
Computed, not measured: crystalline TlVZn2S at its relaxed geometry at the PBE level of DFT.

Output
D(E_F) (states/eV/atom): 0.617
Formation energy (no corrections) (eV per atom): 0.33

Cell: 4.8812 4.8812 4.4595 Å, 90.00 90.00 90.00°
Closest atoms and distances in Å follow each position.
Space group P4/mmm (No. 123)
Inequivalent atoms, fractional coordinates:
Tl (0.0000, 0.0000, 0.0000) [1 per cell]  8 Zn 3.31, 4 V 3.45
V (0.5000, 0.5000, 0.0000) [1 per cell]  2 S 2.23
Zn (0.0000, 0.5000, 0.5000) [2 per cell]  2 S 2.44
S (0.5000, 0.5000, 0.5000) [1 per cell]  2 V 2.23, 4 Zn 2.44

Record 4
Computed, not measured: crystalline La2SmGd at its relaxed geometry at the PBE level of DFT.

Output
D(E_F) (states/eV/atom): 1.716
Relative energy among the computed polymorphs (eV per formula unit): 0.01

Cell: 3.6947 3.6947 10.2993 Å, 90.00 90.00 90.00°
Closest atoms and distances in Å follow each position.
Space group P4/mmm (No. 123)
Inequivalent atoms, fractional coordinates:
La (0.0000, 0.0000, 0.2501) [2 per cell]  4 Gd 3.67, 4 Sm 3.67, 4 La 3.69
Sm (0.5000, 0.5000, 0.0000) [1 per cell]  8 La 3.67, 4 Sm 3.69
Gd (0.5000, 0.5000, 0.5000) [1 per cell]  8 La 3.67, 4 Gd 3.69

Record 5
Computed, not measured: crystalline Ba2TlSe at its relaxed geometry at the PBE level of DFT.

Output
D(E_F) (states/eV/atom): 0.656
Formation energy (no corrections) (eV per atom): -1.08
Relative energy among the computed polymorphs (eV per formula unit): 0.00

Cell: 4.6047 4.6047 27.3613 Å, 90.00 90.00 120.00°
Closest atoms and distances in Å follow each position.
Space group R-3m (No. 166, hexagonal axes)
Inequivalent atoms, fractional coordinates:
Ba (0.0000, 0.0000, 0.2384) [6 per cell]  3 Se 3.31
Tl (0.0000, 0.0000, 0.0000) [3 per cell]  6 Ba 3.72
Se (0.0000, 0.0000, 0.5000) [3 per cell]  6 Ba 3.31

Record 6
Computed, not measured: crystalline Ce3PuOs at its relaxed geometry at the PBE level of DFT.

Output
D(E_F) (states/eV/atom): 1.702
Relative energy among the computed polymorphs (eV per formula unit): 0.00

Cell: 9.3236 6.8124 8.5134 Å, 90.00 114.96 90.00°
Closest atoms and distances in Å follow each position.
Space group P2_1/c (No. 14)
Inequivalent atoms, fractional coordinates:
Ce (0.0097, 0.0140, 0.2054) [4 per cell]  3 Os 2.65-2.96
Ce (0.2844, 0.6460, 0.1078) [4 per cell]  2 Pu 2.71-2.90, 1 Os 2.85
Ce (0.3561, 0.1754, 0.9500) [4 per cell]  2 Pu 2.68-2.78
Pu (0.4101, 0.0248, 0.2601) [4 per cell]  4 Ce 2.68-2.90
Os (0.0893, 0.1933, 0.5525) [4 per cell]  4 Ce 2.65-2.96

Record 7
Computed, not measured: crystalline LuGaRuAu at its relaxed geometry at the PBE level of DFT.

Output
Electronic total energy (eV for the cell shown): -86.8
D(E_F) (states/eV/atom): 0.642

Cell: 6.5488 6.5488 6.5488 Å, 90.00 90.00 90.00°
Closest atoms and distances in Å follow each position.
Space group F-43m (No. 216)
Inequivalent atoms, fractional coordinates:
Lu (0.0000, 0.0000, 0.0000) [4 per cell]  4 Ru 2.84, 4 Au 2.84
Ga (0.0000, 0.0000, 0.5000) [4 per cell]  4 Ru 2.84, 4 Au 2.84
Ru (0.2500, 0.2500, 0.7500) [4 per cell]  4 Lu 2.84, 4 Ga 2.84
Au (0.2500, 0.2500, 0.2500) [4 per cell]  4 Lu 2.84, 4 Ga 2.84

Record 8
Computed, not measured: crystalline PrIn5Ru at its relaxed geometry at the PBE level of DFT.

Output
Electronic total energy (eV for the cell shown): -30.0
D(E_F) (states/eV/atom): 0.507

Cell: 4.6956 4.6956 7.6985 Å, 90.00 90.00 90.00°
Closest atoms and distances in Å follow each position.
Space group P4/mmm (No. 123)
Inequivalent atoms, fractional coordinates:
Pr (0.0000, 0.0000, 0.0000) [1 per cell]  12 In 3.32-3.34
In (0.0000, 0.5000, 0.3078) [4 per cell]  2 Ru 2.78, 1 In 2.96
In (0.5000, 0.5000, 0.0000) [1 per cell]  4 Pr 3.32, 8 In 3.34
Ru (0.0000, 0.0000, 0.5000) [1 per cell]  8 In 2.78

Record 9
Computed, not measured: crystalline Tb2GaAg at its relaxed geometry at the PBE level of DFT.

Output
Electronic total energy (eV for the cell shown): -48.3
D(E_F) (states/eV/atom): 0.907

Cell: 3.6414 3.6414 26.8279 Å, 90.00 90.00 120.00°
Closest atoms and distances in Å follow each position.
Space group R-3m (No. 166, hexagonal axes)
Inequivalent atoms, fractional coordinates:
Tb (0.0000, 0.0000, 0.2467) [6 per cell]  3 Ga 3.01, 3 Ag 3.13
Ga (0.0000, 0.0000, 0.5000) [3 per cell]  6 Tb 3.01
Ag (0.0000, 0.0000, 0.0000) [3 per cell]  6 Tb 3.13

Record 10
Computed, not measured: crystalline CsN2F6 at its relaxed geometry at the PBE level of DFT.

Output
Formation energy (no corrections) (eV per atom): -0.72

Cell: 12.5287 8.9391 8.9965 Å, 90.00 132.41 90.00°
Closest atoms and distances in Å follow each position.
Space group C2/c (No. 15)
Inequivalent atoms, fractional coordinates:
Cs (0.0000, 0.0372, 0.2500) [4 per cell]  4 F 2.90-2.96
N (0.1147, 0.4429, 0.6158) [8 per cell]  2 F 1.38-1.40
F (0.0697, 0.3163, 0.6483) [8 per cell]  1 N 1.38
F (0.1186, 0.3948, 0.4718) [8 per cell]  1 N 1.40
F (0.1849, 0.0757, 0.1580) [8 per cell]  1 N 1.89

Record 11
Computed, not measured: crystalline K3Hg2O4 at its relaxed geometry at the PBE level of DFT.

Output
D(E_F) (states/eV/atom): 0.754
Formation energy (no corrections) (eV per atom): -0.68

Cell: 4.3675 7.6769 13.7727 Å, 90.00 90.00 90.00°
Closest atoms and distances in Å follow each position.
Space group Immm (No. 71)
Inequivalent atoms, fractional coordinates:
K (0.0000, 0.0000, 0.0000) [2 per cell]  4 Hg 3.17
K (0.0000, 0.5000, 0.2209) [4 per cell]  6 O 2.83-2.98
Hg (0.0000, 0.2013, 0.5000) [4 per cell]  2 O 1.97
O (0.0000, 0.2242, 0.3573) [8 per cell]  1 Hg 1.97

Record 12
Computed, not measured: crystalline Al8Si at its relaxed geometry at the PBE level of DFT.

Output
D(E_F) (states/eV/atom): 0.443
Formation energy (no corrections) (eV per atom): 0.04

Cell: 8.5418 8.5418 3.9959 Å, 90.00 90.00 90.00°
Closest atoms and distances in Å follow each position.
Space group I4/mmm (No. 139)
Inequivalent atoms, fractional coordinates:
Al (0.0000, 0.3316, 0.0000) [8 per cell]  11 Al 2.83-2.88, 1 Si 2.83
Al (0.1654, 0.1654, 0.5000) [8 per cell]  2 Si 2.83, 10 Al 2.83-2.86
Si (0.0000, 0.0000, 0.0000) [2 per cell]  12 Al 2.83

Record 13
Computed, not measured: crystalline LaGdAlIn at its relaxed geometry at the PBE level of DFT.

Output
Electronic total energy (eV for the cell shown): -108.6
D(E_F) (states/eV/atom): 0.662

Cell: 7.6032 7.6032 7.6032 Å, 90.00 90.00 90.00°
Closest atoms and distances in Å follow each position.
Space group F-43m (No. 216)
Inequivalent atoms, fractional coordinates:
La (0.0000, 0.0000, 0.0000) [4 per cell]  4 In 3.29, 4 Al 3.29
Gd (0.0000, 0.0000, 0.5000) [4 per cell]  4 Al 3.29, 4 In 3.29
Al (0.2500, 0.2500, 0.7500) [4 per cell]  4 La 3.29, 4 Gd 3.29
In (0.2500, 0.2500, 0.2500) [4 per cell]  4 Gd 3.29, 4 La 3.29